Entry 1:
DFT (PBE-GGA) results for a geometry-optimized Ba8As3PdI3 structure.

a = 9.6810 Å, b = 9.6810 Å, c = 24.8115 Å
α = 90.00°, β = 90.00°, γ = 120.00°
Space group R-3m (No. 166, hexagonal axes)
Unique sites:
Ba  0.0000  0.0000  0.2365 x6
Ba  0.0083  0.5042  0.7636 x18
As  0.0000  0.5000  0.5000 x9
Pd  0.0000  0.0000  0.5000 x3
I  0.0000  0.5000  0.0000 x9

Raw formation energy = -27.8 kcal/mol of atoms

=====

Entry 2:
DFT (PBE-GGA) results for a geometry-optimized AcPm3Sm3 structure.

a = 8.2305 Å, b = 11.0536 Å, c = 11.1037 Å
α = 93.15°, β = 94.35°, γ = 98.71°
Space group P1 (No. 1)
Unique sites:
Ac  0.0000  0.0000  0.0000 x1
Ac  0.0380  0.8149  0.7018 x1
Ac  0.2541  0.7416  0.9976 x1
Ac  0.7837  0.0736  0.7045 x1
Pm  0.0735  0.6364  0.4166 x1
Pm  0.1055  0.4558  0.1391 x1
Pm  0.1478  0.2873  0.8516 x1
Pm  0.1856  0.1085  0.5650 x1
Pm  0.2163  0.9258  0.2857 x1
Pm  0.5349  0.3228  0.7076 x1
Pm  0.5705  0.1426  0.4203 x1
Pm  0.6060  0.9633  0.1403 x1
Pm  0.6417  0.7784  0.8496 x1
Pm  0.6772  0.6025  0.5611 x1
Pm  0.7150  0.4253  0.2796 x1
Pm  0.7471  0.2510  0.9978 x1
Sm  0.2904  0.5642  0.7045 x1
Sm  0.3223  0.3901  0.4226 x1
Sm  0.3602  0.2130  0.1409 x1
Sm  0.3960  0.0367  0.8524 x1
Sm  0.4320  0.8517  0.5618 x1
Sm  0.4677  0.6725  0.2816 x1
Sm  0.5031  0.4930  0.9947 x1
Sm  0.8210  0.8891  0.4164 x1
Sm  0.8521  0.7067  0.1373 x1
Sm  0.8901  0.5283  0.8506 x1
Sm  0.9326  0.3595  0.5631 x1
Sm  0.9645  0.1788  0.2856 x1

Energy of formation from the pure elements = 0.177 eV/f.u.

=====

Entry 3:
DFT (PBE-GGA) results for a geometry-optimized SrCaSc2Ru structure.

a = 5.1157 Å, b = 5.1157 Å, c = 5.6912 Å
α = 90.00°, β = 90.00°, γ = 90.00°
Space group P4/mmm (No. 123)
Unique sites:
Sr  0.0000  0.0000  0.0000 x1
Ca  0.5000  0.5000  0.0000 x1
Sc  0.0000  0.5000  0.5000 x2
Ru  0.5000  0.5000  0.5000 x1

Energy of formation from the pure elements = -0.322 eV/f.u.

=====

Entry 4:
DFT (PBE-GGA) results for a geometry-optimized La2Nd3Er2 structure.

a = 12.0155 Å, b = 3.6653 Å, c = 10.9549 Å
α = 90.00°, β = 95.64°, γ = 90.00°
Space group C2/m (No. 12)
Unique sites:
La  0.2171  0.0000  0.3545 x4
Nd  0.0000  0.5000  0.5000 x2
Nd  0.1409  0.5000  0.0694 x4
Er  0.0695  0.0000  0.7882 x4

Energy of formation from the pure elements = 0.095 eV/f.u.

=====

Entry 5:
DFT (PBE-GGA) results for a geometry-optimized ErPa2Se4 structure.

a = 3.8321 Å, b = 13.1268 Å, c = 14.3441 Å
α = 90.00°, β = 90.00°, γ = 90.00°
Space group Cmcm (No. 63)
Unique sites:
Er  0.0000  0.1087  0.2500 x4
Pa  0.0000  0.3532  0.0630 x8
Se  0.0000  0.0000  0.0000 x4
Se  0.0000  0.2932  0.6321 x8
Se  0.0000  0.4463  0.2500 x4

Raw formation energy = -31.5 kcal/mol of atoms

=====

Entry 6:
DFT (PBE-GGA) results for a geometry-optimized PmTiF5 structure.

a = 9.3610 Å, b = 7.0045 Å, c = 7.8078 Å
α = 90.00°, β = 113.80°, γ = 90.00°
Space group C2/c (No. 15)
Unique sites:
Pm  0.0000  0.0486  0.2500 x4
Ti  0.0000  0.5000  0.0000 x4
F  0.0000  0.3842  0.2500 x4
F  0.0056  0.1845  0.9676 x8
F  0.2392  0.4748  0.6222 x8

Raw formation energy = -80.2 kcal/mol of atoms

=====

Entry 7:
DFT (PBE-GGA) results for a geometry-optimized NaMgBi2 structure.

a = 4.0156 Å, b = 4.0156 Å, c = 7.0451 Å
α = 90.00°, β = 90.00°, γ = 90.00°
Space group P4/mmm (No. 123)
Unique sites:
Na  0.0000  0.0000  0.0000 x1
Mg  0.0000  0.0000  0.5000 x1
Bi  0.5000  0.5000  0.2741 x2

Energy of formation from the pure elements = -0.798 eV/f.u.

=====

Entry 8:
DFT (PBE-GGA) results for a geometry-optimized Li2CeAgCl8 structure.

a = 6.5287 Å, b = 6.5816 Å, c = 7.7800 Å
α = 86.64°, β = 87.07°, γ = 77.55°
Space group P-1 (No. 2)
Unique sites:
Li  0.0468  0.0582  0.2580 x2
Ce  0.5000  0.5000  0.0000 x1
Ag  0.5000  0.5000  0.5000 x1
Cl  0.1995  0.8173  0.4959 x2
Cl  0.2239  0.8532  0.9824 x2
Cl  0.2558  0.3357  0.2195 x2
Cl  0.3205  0.3480  0.7474 x2

Raw formation energy = -33.7 kcal/mol of atoms

=====

Entry 9:
DFT (PBE-GGA) results for a geometry-optimized V2FeCo structure.

a = 3.7974 Å, b = 3.7974 Å, c = 3.2641 Å
α = 90.00°, β = 90.00°, γ = 90.00°
Space group P4/mmm (No. 123)
Unique sites:
V  0.0000  0.5000  0.0000 x2
Fe  0.0000  0.0000  0.5000 x1
Co  0.5000  0.5000  0.5000 x1

Energy of formation from the pure elements = -0.338 eV/f.u.

=====

Entry 10:
DFT (PBE-GGA) results for a geometry-optimized LiBe2Fe structure.

a = 3.8645 Å, b = 3.8645 Å, c = 2.5029 Å
α = 90.00°, β = 90.00°, γ = 90.00°
Space group P4/mmm (No. 123)
Unique sites:
Li  0.0000  0.0000  0.0000 x1
Be  0.0000  0.5000  0.5000 x2
Fe  0.5000  0.5000  0.0000 x1

Energy of formation from the pure elements = 0.014 eV/f.u.

=====

Entry 11:
DFT (PBE-GGA) results for a geometry-optimized MgAgRh2 structure.

a = 4.0162 Å, b = 4.0162 Å, c = 7.7749 Å
α = 90.00°, β = 90.00°, γ = 90.00°
Space group I-4m2 (No. 119)
Unique sites:
Mg  0.0000  0.0000  0.0000 x2
Ag  0.0000  0.5000  0.2500 x2
Rh  0.0000  0.0000  0.5000 x2
Rh  0.0000  0.5000  0.7500 x2

Energy of formation from the pure elements = -0.314 eV/f.u.

=====

Entry 12:
DFT (PBE-GGA) results for a geometry-optimized Ac6PtRh2Au structure.

a = 7.6767 Å, b = 7.6806 Å, c = 8.2682 Å
α = 90.03°, β = 117.66°, γ = 119.95°
Space group P1 (No. 1)
Unique sites:
Ac  0.0000  0.0000  0.0000 x1
Ac  0.0001  0.2185  0.5060 x1
Ac  0.3601  0.6993  0.9998 x1
Ac  0.3858  0.8671  0.5060 x1
Ac  0.6482  0.4808  0.5057 x1
Ac  0.6610  0.3605  0.9999 x1
Pt  0.8650  0.2821  0.7865 x1
Rh  0.4931  0.0963  0.2286 x1
Rh  0.5027  0.6013  0.7428 x1
Au  0.8731  0.7862  0.2990 x1

Energy of formation from the pure elements = -6.960 eV/f.u.

=====

Asked for calculated total energy across the records above, the calculation gives -3.82 -4.62 -5.19 -4.74 -6.72 -6.62 -2.87 -3.74 -8.54 -4.45 -4.87 -5.56 eV/atom in order.